1.
# Be2V2Co5W, relaxed, DFT PBE
data_Be2V2Co5W
_cell_length_a 3.308
_cell_length_b 8.165
_cell_length_c 8.165
_cell_angle_alpha 90.00
_cell_angle_beta 90.00
_cell_angle_gamma 90.00
_space_group_name_H-M_alt 'P 1'
_space_group_IT_number 1
loop_
_space_group_symop_operation_xyz
'x,y,z'
loop_
_atom_site_label
_atom_site_fract_x
_atom_site_fract_y
_atom_site_fract_z
Co1 0.500 0.500 0.000
W1 0.000 0.000 0.000
Co2 0.500 0.788 0.928
V1 0.000 0.825 0.675
Co3 0.500 0.212 0.072
Co4 0.500 0.288 0.572
Co5 0.500 0.712 0.428
Be1 0.000 0.382 0.118
Co6 0.500 0.000 0.500
V2 0.000 0.325 0.825
Co7 0.500 0.572 0.712
Co8 0.500 0.928 0.212
Co9 0.500 0.428 0.288
W2 0.000 0.500 0.500
Co10 0.500 0.072 0.788
V3 0.000 0.175 0.325
Be2 0.000 0.118 0.618
Be3 0.000 0.882 0.382
V4 0.000 0.675 0.175
Be4 0.000 0.618 0.882
# Formation energy from the elements ... -113 meV per atom

---

2.
# SiSb2Au, relaxed, DFT PBE
data_SiSb2Au
_cell_length_a 3.408
_cell_length_b 3.408
_cell_length_c 7.869
_cell_angle_alpha 90.00
_cell_angle_beta 90.00
_cell_angle_gamma 101.88
_space_group_name_H-M_alt 'P 1'
_space_group_IT_number 1
loop_
_space_group_symop_operation_xyz
'x,y,z'
loop_
_atom_site_label
_atom_site_fract_x
_atom_site_fract_y
_atom_site_fract_z
Sb1 0.000 0.000 0.008
Au1 0.500 0.500 0.750
Si1 0.500 0.500 0.250
Sb2 0.000 0.000 0.492
# Formation energy without anion corrections ... 0.35 eV/atom